[1]
La2Zn4PbAu3: relaxed, GGA-PBE.

Lattice parameters (Å, degrees): 4.4134 4.4134 11.3482 90.00 90.00 90.00
Closest atoms and distances in Å follow each position.
Atoms (fractional coordinates):
La 0.5000 0.0000 0.2378  6 Au 3.35-3.70, 8 Zn 3.38-3.49, 2 Pb 3.70
La 0.0000 0.5000 0.7622  6 Au 3.35-3.70, 8 Zn 3.38-3.49, 2 Pb 3.70
Zn 0.5000 0.5000 0.0000  4 Au 2.65
Zn 0.0000 0.0000 0.0000  4 Au 2.65
Zn 0.5000 0.0000 0.6470  3 Au 2.53-2.77, 2 Pb 2.77
Zn 0.0000 0.5000 0.3530  3 Au 2.53-2.77, 2 Pb 2.77
Pb 0.5000 0.5000 0.5000  4 Zn 2.77
Au 0.0000 0.0000 0.5000  4 Zn 2.77
Au 0.5000 0.0000 0.8702  5 Zn 2.53-2.65
Au 0.0000 0.5000 0.1298  5 Zn 2.53-2.65

raw total energy: -3.330 eV/atom
D(E_F): 6.906 states/eV per cell



[2]
LaPd2Au2: relaxed, GGA-PBE.

Lattice parameters (Å, degrees): 4.7197 5.3283 8.3752 79.45 90.00 90.00
Closest atoms and distances in Å follow each position.
Atoms (fractional coordinates):
La 0.2500 0.7252 0.2433  6 Pd 3.03-3.21, 5 Au 3.15-3.31
La 0.7500 0.2748 0.7567  6 Pd 3.03-3.21, 5 Au 3.15-3.31
Pd 0.2500 0.6004 0.6182  5 Au 2.72-2.87, 2 La 3.03
Pd 0.7500 0.3996 0.3818  5 Au 2.72-2.87, 2 La 3.03
Pd 0.2500 0.3448 0.9870  4 Au 2.83-2.88, 3 Pd 2.91-3.14, 2 La 3.11
Pd 0.7500 0.6552 0.0130  4 Au 2.83-2.88, 3 Pd 2.91-3.14, 2 La 3.11
Au 0.2500 0.8761 0.8615  5 Pd 2.72-2.88, 1 Au 3.04
Au 0.7500 0.1239 0.1385  5 Pd 2.72-2.88, 1 Au 3.04
Au 0.2500 0.1434 0.5082  4 Pd 2.76-2.87, 3 Au 2.83-3.04
Au 0.7500 0.8566 0.4918  4 Pd 2.76-2.87, 3 Au 2.83-3.04

ΔE to the lowest computed polymorph: 0.00 eV/f.u.
D(E_F): 5.149 states/eV per cell



[3]
La2Pd2Au3: relaxed, GGA-PBE.

Lattice parameters (Å, degrees): 4.4314 5.5139 7.3185 107.74 90.00 113.69
Closest atoms and distances in Å follow each position.
Atoms (fractional coordinates):
La 0.8707 0.7413 0.2381  4 Pd 3.00-3.12, 7 Au 3.25-3.34
La 0.1293 0.2587 0.7619  4 Pd 3.00-3.12, 7 Au 3.25-3.34
Pd 0.8435 0.6869 0.8013  5 Au 2.83-2.90, 4 La 3.00-3.12
Pd 0.1565 0.3131 0.1987  5 Au 2.83-2.90, 4 La 3.00-3.12
Au 0.5000 0.0000 0.0000  4 Pd 2.83, 2 Au 3.00
Au 0.6224 0.2447 0.4344  3 Pd 2.86-2.90, 2 Au 2.93-3.00
Au 0.3776 0.7553 0.5656  3 Pd 2.86-2.90, 2 Au 2.93-3.00

raw total energy: -5.083 eV/atom
D(E_F): 2.940 states/eV per cell



[4]
LaPd2Au5: relaxed, GGA-PBE.

Lattice parameters (Å, degrees): 4.1250 6.6202 6.6202 77.60 71.85 71.85
Closest atoms and distances in Å follow each position.
Atoms (fractional coordinates):
La 0.0000 0.0000 0.0000  4 Pd 2.85
Pd 0.7076 0.7924 0.7924  7 Au 2.71-2.86, 2 La 2.85
Pd 0.2924 0.2076 0.2076  7 Au 2.71-2.86, 2 La 2.85
Au 0.0000 0.5000 0.5000  2 Pd 2.77, 8 Au 2.93
Au 0.6543 0.5247 0.1667  3 Pd 2.71-2.86, 6 Au 2.92-2.99
Au 0.3457 0.4753 0.8333  3 Pd 2.71-2.86, 6 Au 2.92-2.99
Au 0.3457 0.8333 0.4753  3 Pd 2.71-2.86, 6 Au 2.92-2.99
Au 0.6543 0.1667 0.5247  3 Pd 2.71-2.86, 6 Au 2.92-2.99

raw total energy: -4.317 eV/atom
D(E_F): 2.308 states/eV per cell



[5]
LaPdAu: relaxed, GGA-PBE.

Lattice parameters (Å, degrees): 5.2346 3.9508 7.6657 75.07 90.00 90.00
Closest atoms and distances in Å follow each position.
Atoms (fractional coordinates):
La 0.7500 0.6285 0.7430  4 Pd 3.04, 5 Au 3.05-3.32
La 0.2500 0.3715 0.2570  4 Pd 3.04, 5 Au 3.05-3.32
Pd 0.5000 0.0000 0.0000  2 Pd 2.62, 2 Au 2.78
Pd 0.0000 0.0000 0.0000  2 Pd 2.62, 2 Au 2.78
Au 0.7500 0.8344 0.3311  2 Pd 2.78, 1 La 3.05
Au 0.2500 0.1656 0.6689  2 Pd 2.78, 1 La 3.05

raw total energy: -5.109 eV/atom
D(E_F): 3.441 states/eV per cell



[6]
LaPd6Au: relaxed, GGA-PBE.

Lattice parameters (Å, degrees): 5.2332 5.2332 5.2332 90.00 90.00 90.00
Closest atoms and distances in Å follow each position.
Atoms (fractional coordinates):
La 0.5000 0.5000 0.5000  12 Pd 2.94
Pd 0.5000 0.7557 0.0000  2 Pd 2.56-2.68
Pd 0.7557 0.0000 0.5000  2 Pd 2.56-2.68
Pd 0.0000 0.5000 0.2443  2 Pd 2.56-2.68
Pd 0.2443 0.0000 0.5000  2 Pd 2.56-2.68
Pd 0.5000 0.2443 0.0000  2 Pd 2.56-2.68
Pd 0.0000 0.5000 0.7557  2 Pd 2.56-2.68
Au 0.0000 0.0000 0.0000  12 Pd 2.91

ΔE to the lowest computed polymorph: 1.15 eV/f.u.
D(E_F): 4.837 states/eV per cell



[7]
LaPd6Au2: relaxed, GGA-PBE.

Lattice parameters (Å, degrees): 6.2922 6.2922 6.2922 60.00 60.00 60.00
Closest atoms and distances in Å follow each position.
Atoms (fractional coordinates):
La 0.0000 0.0000 0.0000  6 Pd 2.53
Pd 0.7158 0.7158 0.2842  1 La 2.53, 4 Pd 2.72
Pd 0.2842 0.7158 0.7158  1 La 2.53, 4 Pd 2.72
Pd 0.2842 0.7158 0.2842  1 La 2.53, 4 Pd 2.72
Pd 0.2842 0.2842 0.7158  1 La 2.53, 4 Pd 2.72
Pd 0.7158 0.2842 0.2842  1 La 2.53, 4 Pd 2.72
Pd 0.7158 0.2842 0.7158  1 La 2.53, 4 Pd 2.72
Au 0.2500 0.2500 0.2500  12 Pd 3.16
Au 0.7500 0.7500 0.7500  12 Pd 3.16

ΔE to the lowest computed polymorph: 2.51 eV/f.u.
D(E_F): 4.536 states/eV per cell



[8]
La2PdAu6: relaxed, GGA-PBE.

Lattice parameters (Å, degrees): 5.8402 6.2825 6.2825 120.00 90.00 90.00
Closest atoms and distances in Å follow each position.
Atoms (fractional coordinates):
La 0.3367 0.6667 0.3333  12 Au 3.27-3.45
La 0.6633 0.3333 0.6667  12 Au 3.27-3.45
Pd 0.5000 0.0000 0.0000  6 Au 2.71
Au 0.8188 0.8192 0.6385  1 Pd 2.71, 4 Au 2.88-2.89
Au 0.8188 0.8192 0.1808  1 Pd 2.71, 4 Au 2.88-2.89
Au 0.1812 0.6385 0.8192  1 Pd 2.71, 4 Au 2.88-2.89
Au 0.8188 0.3615 0.1808  1 Pd 2.71, 4 Au 2.88-2.89
Au 0.1812 0.1808 0.8192  1 Pd 2.71, 4 Au 2.88-2.89
Au 0.1812 0.1808 0.3615  1 Pd 2.71, 4 Au 2.88-2.89

raw total energy: -4.442 eV/atom
D(E_F): 4.173 states/eV per cell



[9]
La4Pd2Au: relaxed, GGA-PBE.

Lattice parameters (Å, degrees): 4.6375 4.6375 11.4939 78.36 78.36 60.00
Closest atoms and distances in Å follow each position.
Atoms (fractional coordinates):
La 0.3813 0.3813 0.8562  3 Pd 3.06, 3 Au 3.12
La 0.2010 0.2010 0.3970  3 Pd 2.99
La 0.7990 0.7990 0.6030  3 Pd 2.99
La 0.6187 0.6187 0.1438  3 Pd 3.06, 3 Au 3.12
Pd 0.0923 0.0923 0.7230  6 La 2.99-3.06, 1 Au 3.10
Pd 0.9077 0.9077 0.2770  6 La 2.99-3.06, 1 Au 3.10
Au 0.0000 0.0000 0.0000  2 Pd 3.10, 6 La 3.12

raw total energy: -5.364 eV/atom
D(E_F): 7.556 states/eV per cell



[10]
La2Pd2Au: relaxed, GGA-PBE.

Lattice parameters (Å, degrees): 5.6174 5.6174 5.6962 60.46 60.46 90.00
Closest atoms and distances in Å follow each position.
Atoms (fractional coordinates):
Au 0.0000 0.0000 0.0000  2 Pd 2.78
Pd 0.3404 0.3404 0.3192  1 Pd 2.61, 1 Au 2.78, 4 La 2.90
Pd 0.6596 0.6596 0.6808  1 Pd 2.61, 1 Au 2.78, 4 La 2.90
La 0.7500 0.2500 0.5000  4 Pd 2.90
La 0.2500 0.7500 0.5000  4 Pd 2.90

ΔE to the lowest computed polymorph: 0.64 eV/f.u.
D(E_F): 2.855 states/eV per cell



[11]
LaPd4Au: relaxed, GGA-PBE.

Lattice parameters (Å, degrees): 4.2334 7.0609 7.7667 90.00 90.00 90.00
Closest atoms and distances in Å follow each position.
Atoms (fractional coordinates):
La 0.0000 0.6713 0.7500  1 Au 2.90, 8 Pd 3.00-3.03
La 0.0000 0.3287 0.2500  1 Au 2.90, 8 Pd 3.00-3.03
Pd 0.0000 0.0000 0.5000  2 Au 2.67, 8 Pd 2.88-2.99
Pd 0.0000 0.0000 0.0000  2 Au 2.67, 8 Pd 2.88-2.99
Pd 0.5000 0.9731 0.7500  8 Pd 2.88, 2 Au 2.93, 2 La 3.00
Pd 0.5000 0.0269 0.2500  8 Pd 2.88, 2 Au 2.93, 2 La 3.00
Pd 0.5000 0.7018 0.0266  2 Au 2.75, 5 Pd 2.88-2.99, 2 La 3.02
Pd 0.5000 0.2982 0.9734  2 Au 2.75, 5 Pd 2.88-2.99, 2 La 3.02
Pd 0.5000 0.7018 0.4734  2 Au 2.75, 5 Pd 2.88-2.99, 2 La 3.02
Pd 0.5000 0.2982 0.5266  2 Au 2.75, 5 Pd 2.88-2.99, 2 La 3.02
Au 0.0000 0.2603 0.7500  8 Pd 2.67-2.93, 1 La 2.90
Au 0.0000 0.7397 0.2500  8 Pd 2.67-2.93, 1 La 2.90

ΔE to the lowest computed polymorph: 0.74 eV/f.u.
D(E_F): 5.596 states/eV per cell



[12]
LaPd2Au2: relaxed, GGA-PBE.

Lattice parameters (Å, degrees): 7.6893 7.6893 3.4047 90.00 90.00 90.00
Closest atoms and distances in Å follow each position.
Atoms (fractional coordinates):
Au 0.3706 0.8706 0.0000  6 Pd 2.79-2.86, 1 Au 2.81, 2 La 3.02
Au 0.8706 0.6294 0.0000  6 Pd 2.79-2.86, 1 Au 2.81, 2 La 3.02
Au 0.6294 0.1294 0.0000  6 Pd 2.79-2.86, 1 Au 2.81, 2 La 3.02
Au 0.1294 0.3706 0.0000  6 Pd 2.79-2.86, 1 Au 2.81, 2 La 3.02
Pd 0.1674 0.6674 0.5000  6 Au 2.79-2.86
Pd 0.6674 0.8326 0.5000  6 Au 2.79-2.86
Pd 0.8326 0.3326 0.5000  6 Au 2.79-2.86
Pd 0.3326 0.1674 0.5000  6 Au 2.79-2.86
La 0.0000 0.0000 0.0000  4 Au 3.02, 8 Pd 3.33
La 0.5000 0.5000 0.0000  4 Au 3.02, 8 Pd 3.33

ΔE to the lowest computed polymorph: 0.62 eV/f.u.
D(E_F): 4.055 states/eV per cell



Q: What is the formula in the fifth record?
A: LaPdAu



Please write out number 10 again, unchanged.
La2Pd2Au: relaxed, GGA-PBE.

Lattice parameters (Å, degrees): 5.6174 5.6174 5.6962 60.46 60.46 90.00
Closest atoms and distances in Å follow each position.
Atoms (fractional coordinates):
Au 0.0000 0.0000 0.0000  2 Pd 2.78
Pd 0.3404 0.3404 0.3192  1 Pd 2.61, 1 Au 2.78, 4 La 2.90
Pd 0.6596 0.6596 0.6808  1 Pd 2.61, 1 Au 2.78, 4 La 2.90
La 0.7500 0.2500 0.5000  4 Pd 2.90
La 0.2500 0.7500 0.5000  4 Pd 2.90

ΔE to the lowest computed polymorph: 0.64 eV/f.u.
D(E_F): 2.855 states/eV per cell



Repeat the tenth record exactly.
La2Pd2Au: relaxed, GGA-PBE.

Lattice parameters (Å, degrees): 5.6174 5.6174 5.6962 60.46 60.46 90.00
Closest atoms and distances in Å follow each position.
Atoms (fractional coordinates):
Au 0.0000 0.0000 0.0000  2 Pd 2.78
Pd 0.3404 0.3404 0.3192  1 Pd 2.61, 1 Au 2.78, 4 La 2.90
Pd 0.6596 0.6596 0.6808  1 Pd 2.61, 1 Au 2.78, 4 La 2.90
La 0.7500 0.2500 0.5000  4 Pd 2.90
La 0.2500 0.7500 0.5000  4 Pd 2.90

ΔE to the lowest computed polymorph: 0.64 eV/f.u.
D(E_F): 2.855 states/eV per cell



Q: Number 10 is which compound?
A: La2Pd2Au